1.
NaCdPOs | PBE | optimized geometry

Output
**Energy of formation from the pure elements**: -0.20 eV/atom

The structure in CIF format:
```
data_NaCdPOs
_symmetry_space_group_name_H-M 'P 4/n m m'
_symmetry_Int_Tables_number 129
_cell_length_a 4.045
_cell_length_b 4.045
_cell_length_c 10.712
_cell_angle_alpha 90.00
_cell_angle_beta 90.00
_cell_angle_gamma 90.00
loop_
_symmetry_equiv_pos_as_xyz
'x,y,z'
'-x,-y,-z'
'-y+1/2,x,z'
'y+1/2,-x,-z'
'-x+1/2,-y+1/2,z'
'x+1/2,y+1/2,-z'
'y,-x+1/2,z'
'-y,x+1/2,-z'
'x+1/2,-y,-z'
'-x+1/2,y,z'
'-y,-x,-z'
'y,x,z'
'-x,y+1/2,-z'
'x,-y+1/2,z'
'y+1/2,x+1/2,-z'
'-y+1/2,-x+1/2,z'
loop_
_atom_site_label
_atom_site_fract_x
_atom_site_fract_y
_atom_site_fract_z
Na1 0.250 0.250 0.236
Cd1 0.250 0.750 0.500
P1 0.250 0.250 0.887
Os1 0.250 0.750 0.000
```


2.
NaCdOs2Rh | PBE | optimized geometry

Output
**Energy of formation from the pure elements**: 1.58 eV/atom

The structure in CIF format:
```
data_NaCdOs2Rh
_symmetry_space_group_name_H-M 'P 4/m m m'
_symmetry_Int_Tables_number 123
_symmetry_space_group_name_Hall '-P 4 2'
_cell_length_a 4.700
_cell_length_b 4.700
_cell_length_c 4.957
_cell_angle_alpha 90.00
_cell_angle_beta 90.00
_cell_angle_gamma 90.00
loop_
_atom_site_label
_atom_site_fract_x
_atom_site_fract_y
_atom_site_fract_z
Na1 0.000 0.000 0.000
Cd1 0.500 0.500 0.000
Os1 0.000 0.500 0.500
Rh1 0.000 0.000 0.500
```


3.
NaScCd2Os | PBE | optimized geometry

Output
**Energy of formation from the pure elements**: 0.86 eV/atom

The structure in CIF format:
```
data_NaScCd2Os
_symmetry_space_group_name_H-M 'P 4/m m m'
_symmetry_Int_Tables_number 123
_symmetry_space_group_name_Hall '-P 4 2'
_cell_length_a 5.590
_cell_length_b 5.590
_cell_length_c 4.690
_cell_angle_alpha 90.00
_cell_angle_beta 90.00
_cell_angle_gamma 90.00
loop_
_atom_site_label
_atom_site_fract_x
_atom_site_fract_y
_atom_site_fract_z
Na1 0.000 0.000 0.000
Sc1 0.500 0.500 0.500
Cd1 0.000 0.500 0.500
Os1 0.500 0.500 0.000
```


4.
Na3CdP2 | PBE | optimized geometry

Output
**Energy of formation from the pure elements**: -0.22 eV/atom
**Distance to the lowest polymorph of the same formula**: 0.0 kJ per mole of atoms

The structure in CIF format:
```
data_Na3CdP2
_symmetry_space_group_name_H-M 'I b a m'
_symmetry_Int_Tables_number 72
_symmetry_space_group_name_Hall '-I 2 2c'
_cell_length_a 6.207
_cell_length_b 14.708
_cell_length_c 6.100
_cell_angle_alpha 90.00
_cell_angle_beta 90.00
_cell_angle_gamma 90.00
loop_
_atom_site_label
_atom_site_fract_x
_atom_site_fract_y
_atom_site_fract_z
Na1 0.000 0.000 0.250
Na2 0.239 0.316 0.000
Cd1 0.000 0.500 0.250
P1 0.225 0.382 0.500
```


5.
NaCd3P | PBE | optimized geometry

Output
**Energy of formation from the pure elements**: 0.22 eV/atom
**Distance to the lowest polymorph of the same formula**: 0.0 kJ per mole of atoms

The structure in CIF format:
```
data_NaCd3P
_symmetry_space_group_name_H-M 'P m -3 m'
_symmetry_Int_Tables_number 221
_symmetry_space_group_name_Hall '-P 4 2 3'
_cell_length_a 5.255
_cell_length_b 5.255
_cell_length_c 5.255
_cell_angle_alpha 90.00
_cell_angle_beta 90.00
_cell_angle_gamma 90.00
loop_
_atom_site_label
_atom_site_fract_x
_atom_site_fract_y
_atom_site_fract_z
Na1 0.000 0.000 0.000
Cd1 0.000 0.500 0.500
P1 0.500 0.500 0.500
```


6.
Na2CdP2 | PBE | optimized geometry

Output
**Energy of formation from the pure elements**: 0.03 eV/atom
**Distance to the lowest polymorph of the same formula**: 25.7 kJ per mole of atoms

The structure in CIF format:
```
data_Na2CdP2
_symmetry_space_group_name_H-M 'I 4/m m m'
_symmetry_Int_Tables_number 139
_symmetry_space_group_name_Hall '-I 4 2'
_cell_length_a 4.418
_cell_length_b 4.418
_cell_length_c 11.510
_cell_angle_alpha 90.00
_cell_angle_beta 90.00
_cell_angle_gamma 90.00
loop_
_atom_site_label
_atom_site_fract_x
_atom_site_fract_y
_atom_site_fract_z
Na1 0.000 0.500 0.250
Cd1 0.000 0.000 0.000
P1 0.000 0.000 0.408
```


7.
NaCd3P | PBE | optimized geometry

Output
**Energy of formation from the pure elements**: 0.90 eV/atom
**Distance to the lowest polymorph of the same formula**: 65.5 kJ per mole of atoms

The structure in CIF format:
```
data_NaCd3P
_symmetry_space_group_name_H-M 'P m -3 m'
_symmetry_Int_Tables_number 221
_symmetry_space_group_name_Hall '-P 4 2 3'
_cell_length_a 5.562
_cell_length_b 5.562
_cell_length_c 5.562
_cell_angle_alpha 90.00
_cell_angle_beta 90.00
_cell_angle_gamma 90.00
loop_
_atom_site_label
_atom_site_fract_x
_atom_site_fract_y
_atom_site_fract_z
Na1 0.000 0.000 0.000
Cd1 0.000 0.000 0.500
P1 0.500 0.500 0.500
```


8.
NaCdP2 | PBE | optimized geometry

Output
**Energy of formation from the pure elements**: 0.20 eV/atom

The structure in CIF format:
```
data_NaCdP2
_symmetry_space_group_name_H-M 'I -4 2 d'
_symmetry_Int_Tables_number 122
_symmetry_space_group_name_Hall 'I -4 2bw'
_cell_length_a 7.750
_cell_length_b 7.750
_cell_length_c 5.487
_cell_angle_alpha 90.00
_cell_angle_beta 90.00
_cell_angle_gamma 90.00
loop_
_atom_site_label
_atom_site_fract_x
_atom_site_fract_y
_atom_site_fract_z
Na1 0.000 0.000 0.000
Cd1 0.000 0.000 0.500
P1 0.209 0.250 0.625
```


N(E_F): 4.01 5.11 3.18 14.35 1.91 6.15 3.08 12.60 (states/eV/cell)